(1)
Here is a PBEsol-optimized structure of Y2Co3Si5 from the Alexandria database. Energies are from meta-GGA SCAN.

Unit cell a=7.764 b=7.764 c=5.436 alpha=109.17 beta=109.17 gamma=93.46
Sites, in units of the cell vectors:
Y 0.097 0.370 0.236
Y 0.370 0.097 0.736
Y 0.630 0.903 0.264
Y 0.903 0.630 0.764
Co 0.040 0.764 0.373
Co 0.236 0.960 0.127
Co 0.497 0.503 0.250
Co 0.503 0.497 0.750
Co 0.764 0.040 0.873
Co 0.960 0.236 0.627
Si 0.012 0.988 0.750
Si 0.238 0.435 0.834
Si 0.270 0.730 0.750
Si 0.286 0.714 0.250
Si 0.435 0.238 0.334
Si 0.565 0.762 0.666
Si 0.714 0.286 0.750
Si 0.730 0.270 0.250
Si 0.762 0.565 0.166
Si 0.988 0.012 0.250

Results
Crystal system ... monoclinic
Uncorrected energy ... -16.504 eV/atom
Size of the total moment ... 1.2 μB/cell


(2)
Here is a PBEsol-optimized structure of TbInCo2 from the Alexandria database. Energies are from meta-GGA SCAN.

Unit cell a=4.952 b=3.939 c=7.018 alpha=90.00 beta=90.00 gamma=90.00
Sites, in units of the cell vectors:
Tb 0.250 0.000 0.222
Tb 0.750 0.000 0.778
In 0.250 0.500 0.849
In 0.750 0.500 0.151
Co 0.000 0.500 0.500
Co 0.250 0.000 0.591
Co 0.500 0.500 0.500
Co 0.750 0.000 0.409

Results
Crystal system ... orthorhombic
Energy relative to the elements ... -0.29 eV per atom
Uncorrected energy ... -28.980 eV/atom
Size of the total moment ... 5.7 μB/cell


(3)
Here is a PBEsol-optimized structure of KMgSc2 from the Alexandria database. Energies are from meta-GGA SCAN.

Unit cell a=12.031 b=12.031 c=12.031 alpha=15.91 beta=15.91 gamma=15.91
Sites, in units of the cell vectors:
K 0.000 0.000 0.000
Mg 0.500 0.500 0.500
Sc 0.237 0.237 0.237
Sc 0.763 0.763 0.763

Results
Crystal system ... trigonal
Energy relative to the elements ... 0.35 eV per atom
Uncorrected energy ... -10.098 eV/atom
Size of the total moment ... 0.6 μB/cell


(4)
Here is a PBEsol-optimized structure of RbYMn3 from the Alexandria database. Energies are from meta-GGA SCAN.

Unit cell a=5.369 b=5.369 c=5.369 alpha=90.00 beta=90.00 gamma=90.00
Sites, in units of the cell vectors:
Rb 0.000 0.000 0.000
Y 0.500 0.500 0.500
Mn 0.000 0.500 0.500
Mn 0.500 0.000 0.500
Mn 0.500 0.500 0.000

Results
Crystal system ... cubic
Energy relative to the elements ... 1.00 eV per atom
Uncorrected energy ... -19.667 eV/atom
Size of the total moment ... 12.1 μB/cell


(5)
Here is a PBEsol-optimized structure of CdPb2 from the Alexandria database. Energies are from meta-GGA SCAN.

Unit cell a=7.344 b=7.344 c=6.896 alpha=101.82 beta=101.82 gamma=26.69
Sites, in units of the cell vectors:
Cd 0.167 0.167 0.344
Cd 0.833 0.833 0.656
Pb 0.174 0.174 0.822
Pb 0.500 0.500 0.000
Pb 0.500 0.500 0.500
Pb 0.826 0.826 0.178

Results
Crystal system ... monoclinic
Energy relative to the elements ... 0.06 eV per atom
Uncorrected energy ... -60.601 eV/atom
Size of the total moment ... 0.0 μB/cell


(6)
Here is a PBEsol-optimized structure of CrRh2Au from the Alexandria database. Energies are from meta-GGA SCAN.

Unit cell a=4.654 b=4.654 c=4.654 alpha=131.43 beta=131.43 gamma=71.13
Sites, in units of the cell vectors:
Cr 0.000 0.000 0.000
Rh 0.250 0.750 0.500
Rh 0.750 0.250 0.500
Au 0.500 0.500 0.000

Results
Crystal system ... tetragonal
Energy relative to the elements ... -0.04 eV per atom
Uncorrected energy ... -38.813 eV/atom
Size of the total moment ... 1.6 μB/cell